# 1
PRuPtCl2, single point on PBEsol structure, DFT meta-GGA SCAN; SG = P4/mmm (123); raw formation energy = 863 meV/atom
1.0
4.762 0.000 0.000
0.000 4.762 0.000
0.000 0.000 4.604
P Ru Pt Cl
1 1 1 2
Direct
0.000 0.000 0.000
0.500 0.500 0.000
0.000 0.000 0.500
0.000 0.500 0.500
0.500 0.000 0.500

***

# 2
GeBPtI2, single point on PBEsol structure, DFT meta-GGA SCAN; SG = P4/mmm (123); raw formation energy = 1217 meV/atom
1.0
4.999 0.000 0.000
0.000 4.999 0.000
0.000 0.000 4.080
Ge B Pt I
1 1 1 2
Direct
0.000 0.000 0.000
0.000 0.000 0.500
0.500 0.500 0.000
0.000 0.500 0.500
0.500 0.000 0.500

***

# 3
Tl2CdCu, single point on PBEsol structure, DFT meta-GGA SCAN; ΔE_f = 185 meV per atom; SG = Imm2 (44); relative energy among the computed polymorphs = 0 meV/atom
1.0
-1.553 2.299 6.253
1.553 -2.299 6.253
1.553 2.299 -6.253
Tl Cd Cu
2 1 1
Direct
0.000 0.000 0.000
0.698 0.198 0.500
0.316 0.816 0.500
0.496 0.496 0.000

***

# 4
Sr2YNiHg, single point on PBEsol structure, DFT meta-GGA SCAN; ΔE_f = 375 meV per atom; SG = P4/mmm (123)
1.0
5.982 0.000 0.000
0.000 5.982 0.000
0.000 0.000 4.799
Sr Y Ni Hg
2 1 1 1
Direct
0.000 0.500 0.000
0.500 0.000 0.000
0.000 0.000 0.500
0.500 0.500 0.500
0.500 0.500 0.000